Model 1:
{
  "formula": "HoAgPd3",
  "functional": "PBE-GGA",
  "state": "relaxed",
  "crystal_system": "orthorhombic",
  "space_group": "Pmmn",
  "lattice": [[4.497, 0.000, 0.000], [0.000, 5.837, 0.000], [0.000, 0.000, 7.284]],
  "species": ["Ho", "Ho", "Ag", "Ag", "Pd", "Pd", "Pd", "Pd", "Pd", "Pd"],
  "frac_coords": [[0.250, 0.250, 0.168], [0.750, 0.750, 0.832], [0.250, 0.750, 0.448], [0.750, 0.250, 0.552], [0.250, 0.022, 0.755], [0.250, 0.478, 0.755], [0.250, 0.750, 0.078], [0.750, 0.250, 0.922], [0.750, 0.522, 0.245], [0.750, 0.978, 0.245]]
}



Model 2:
{
  "formula": "HoAgPd3",
  "functional": "PBE-GGA",
  "state": "relaxed",
  "crystal_system": "hexagonal",
  "space_group": "P6_3/mmc",
  "lattice": [[6.591, 0.000, 0.000], [-3.296, 5.708, 0.000], [0.000, 0.000, 5.298]],
  "species": ["Ho", "Ho", "Ag", "Ag", "Pd", "Pd", "Pd", "Pd", "Pd", "Pd"],
  "frac_coords": [[0.333, 0.667, 0.250], [0.667, 0.333, 0.750], [0.000, 0.000, 0.000], [0.000, 0.000, 0.500], [0.201, 0.402, 0.750], [0.201, 0.799, 0.750], [0.402, 0.201, 0.250], [0.598, 0.799, 0.750], [0.799, 0.201, 0.250], [0.799, 0.598, 0.250]]
}



Stability summary - winner: model 1; margin: 0.180 eV/atom.